Record 1
## Ba2ZrTl2 (PBE)

Data for a relaxed structure of Ba2ZrTl2.

Output
The final energy comes out at -3.382 eV/atom. The density of states at the Fermi level is 5.21 states/eV/f.u. The formation energy comes out at 0.22 eV per formula unit.

Cell and atoms, written as CIF:
```
data_Ba2ZrTl2
_space_group_name_H-M_alt 'P 4/m b m'
_space_group_IT_number 127
_space_group_name_Hall '-P 4 2ab'
_cell_length_a 8.0425
_cell_length_b 8.0425
_cell_length_c 5.6486
_cell_angle_alpha 90.00
_cell_angle_beta 90.00
_cell_angle_gamma 90.00
loop_
_atom_site_label
_atom_site_type_symbol
_atom_site_fract_x
_atom_site_fract_y
_atom_site_fract_z
Ba1 Ba 0.1698 0.3302 0.0000
Zr1 Zr 0.0000 0.0000 0.5000
Tl1 Tl 0.1460 0.6460 0.5000
```

---

Record 2
## BaZrTl2 (PBE)

Data for a relaxed structure of BaZrTl2.

Output
The final energy comes out at -3.637 eV/atom. The density of states at the Fermi level is 3.39 states/eV/f.u. The formation energy comes out at 0.66 eV per formula unit.

Cell and atoms, written as CIF:
```
data_BaZrTl2
_space_group_name_H-M_alt 'P 4/m m m'
_space_group_IT_number 123
_space_group_name_Hall '-P 4 2'
_cell_length_a 5.2889
_cell_length_b 5.2889
_cell_length_c 4.3837
_cell_angle_alpha 90.00
_cell_angle_beta 90.00
_cell_angle_gamma 90.00
loop_
_atom_site_label
_atom_site_type_symbol
_atom_site_fract_x
_atom_site_fract_y
_atom_site_fract_z
Ba1 Ba 0.0000 0.0000 0.0000
Zr1 Zr 0.5000 0.5000 0.0000
Tl1 Tl 0.0000 0.5000 0.5000
```

---

Record 3
## BaZr2Tl (PBE)

Data for a relaxed structure of BaZr2Tl.

Output
The final energy comes out at -4.843 eV/atom. The density of states at the Fermi level is 8.35 states/eV/f.u. The value obtained for the energy relative to the lowest polymorph listed for this composition is 0.3915 eV per atom. The formation energy comes out at 2.01 eV per formula unit.

Cell and atoms, written as CIF:
```
data_BaZr2Tl
_space_group_name_H-M_alt 'F m -3 m'
_space_group_IT_number 225
_space_group_name_Hall '-F 4 2 3'
_cell_length_a 7.4700
_cell_length_b 7.4700
_cell_length_c 7.4700
_cell_angle_alpha 90.00
_cell_angle_beta 90.00
_cell_angle_gamma 90.00
loop_
_atom_site_label
_atom_site_type_symbol
_atom_site_fract_x
_atom_site_fract_y
_atom_site_fract_z
Ba1 Ba 0.0000 0.0000 0.0000
Zr1 Zr 0.2500 0.2500 0.2500
Tl1 Tl 0.0000 0.0000 0.5000
```